1.
This record from the Alexandria database describes a relaxed structure of CeTm5Sc. The functional is GGA-PBE.

Cell: 10.930 4.918 7.725 Å, 90.00 98.56 90.00°
Sites, in units of the cell vectors:
Ce  0.000  0.000  0.000
Ce  0.500  0.500  0.000
Tm  0.071  0.500  0.711
Tm  0.212  0.500  0.142
Tm  0.286  0.000  0.850
Tm  0.358  0.500  0.565
Tm  0.429  0.000  0.282
Tm  0.571  0.000  0.711
Tm  0.712  0.000  0.142
Tm  0.786  0.500  0.850
Tm  0.858  0.000  0.565
Tm  0.929  0.500  0.282
Sc  0.141  0.000  0.426
Sc  0.641  0.500  0.426

Symmetry = No. 8
Calculated total energy = -4.88 eV/atom
Total magnetic moment = 2.274 Bohr magnetons per cell
N(E_F) = 13.227 states/eV/f.u.

---

2.
This record from the Alexandria database describes a relaxed structure of Ce2Tm12Sc5. The functional is GGA-PBE.

Cell: 8.705 8.705 8.235 Å, 90.87 90.87 62.78°
Sites, in units of the cell vectors:
Ce  0.149  0.851  0.000
Ce  0.851  0.149  0.000
Tm  0.060  0.676  0.326
Tm  0.063  0.063  0.339
Tm  0.173  0.531  0.764
Tm  0.324  0.940  0.674
Tm  0.427  0.427  0.134
Tm  0.469  0.827  0.236
Tm  0.531  0.173  0.764
Tm  0.573  0.573  0.866
Tm  0.676  0.060  0.326
Tm  0.827  0.469  0.236
Tm  0.937  0.937  0.661
Tm  0.940  0.324  0.674
Sc  0.210  0.210  0.037
Sc  0.271  0.271  0.433
Sc  0.500  0.500  0.500
Sc  0.729  0.729  0.567
Sc  0.790  0.790  0.963

Symmetry = No. 12
Calculated total energy = -4.94 eV/atom
Total magnetic moment = 0.520 Bohr magnetons per cell
N(E_F) = 32.476 states/eV/f.u.

---

3.
This record from the Alexandria database describes a relaxed structure of CeTm3Sc4. The functional is GGA-PBE.

Cell: 21.999 3.385 5.839 Å, 90.00 95.39 90.00°
Sites, in units of the cell vectors:
Ce  0.000  0.000  0.000
Ce  0.500  0.500  0.000
Tm  0.000  0.500  0.500
Tm  0.128  0.500  0.879
Tm  0.372  0.000  0.121
Tm  0.500  0.000  0.500
Tm  0.628  0.000  0.879
Tm  0.872  0.500  0.121
Sc  0.128  0.000  0.375
Sc  0.250  0.000  0.744
Sc  0.250  0.500  0.256
Sc  0.372  0.500  0.625
Sc  0.628  0.500  0.375
Sc  0.750  0.000  0.256
Sc  0.750  0.500  0.744
Sc  0.872  0.000  0.625

Symmetry = No. 12
Calculated total energy = -5.52 eV/atom
Total magnetic moment = 0.856 Bohr magnetons per cell
N(E_F) = 14.296 states/eV/f.u.

---

4.
This record from the Alexandria database describes a relaxed structure of CeTm4Sc5. The functional is GGA-PBE.

Cell: 7.585 7.585 7.585 Å, 97.76 97.76 136.88°
Sites, in units of the cell vectors:
Ce  0.000  0.000  0.000
Tm  0.264  0.587  0.323
Tm  0.264  0.941  0.677
Tm  0.587  0.264  0.323
Tm  0.941  0.264  0.677
Sc  0.471  0.471  0.000
Sc  0.553  0.553  0.627
Sc  0.553  0.926  0.000
Sc  0.926  0.553  0.000
Sc  0.926  0.926  0.373

Symmetry = No. 107
Calculated total energy = -5.30 eV/atom
Total magnetic moment = 0.836 Bohr magnetons per cell
N(E_F) = 18.609 states/eV/f.u.

---

5.
This record from the Alexandria database describes a relaxed structure of Ce2TmSc12. The functional is GGA-PBE.

Cell: 5.920 5.920 23.690 Å, 90.00 90.00 90.00°
Sites, in units of the cell vectors:
Ce  0.250  0.750  0.221
Ce  0.250  0.750  0.779
Ce  0.750  0.250  0.221
Ce  0.750  0.250  0.779
Tm  0.250  0.750  0.500
Tm  0.750  0.250  0.500
Sc  0.066  0.566  0.382
Sc  0.066  0.934  0.618
Sc  0.080  0.580  0.059
Sc  0.080  0.920  0.941
Sc  0.250  0.250  0.156
Sc  0.250  0.250  0.284
Sc  0.250  0.250  0.716
Sc  0.250  0.250  0.844
Sc  0.420  0.580  0.941
Sc  0.420  0.920  0.059
Sc  0.434  0.566  0.618
Sc  0.434  0.934  0.382
Sc  0.566  0.066  0.618
Sc  0.566  0.434  0.382
Sc  0.580  0.080  0.941
Sc  0.580  0.420  0.059
Sc  0.750  0.750  0.156
Sc  0.750  0.750  0.284
Sc  0.750  0.750  0.716
Sc  0.750  0.750  0.844
Sc  0.920  0.080  0.059
Sc  0.920  0.420  0.941
Sc  0.934  0.066  0.382
Sc  0.934  0.434  0.618

Symmetry = No. 125
Calculated total energy = -5.82 eV/atom
Total magnetic moment = 11.807 Bohr magnetons per cell
N(E_F) = 29.071 states/eV/f.u.

---

6.
This record from the Alexandria database describes a relaxed structure of CeTm4Sc3. The functional is GGA-PBE.

Cell: 11.144 12.554 3.230 Å, 90.00 90.00 90.00°
Sites, in units of the cell vectors:
Ce  0.000  0.000  0.000
Ce  0.500  0.500  0.000
Tm  0.000  0.248  0.000
Tm  0.000  0.752  0.000
Tm  0.244  0.000  0.500
Tm  0.256  0.500  0.500
Tm  0.500  0.252  0.000
Tm  0.500  0.748  0.000
Tm  0.744  0.500  0.500
Tm  0.756  0.000  0.500
Sc  0.000  0.500  0.000
Sc  0.250  0.250  0.500
Sc  0.250  0.750  0.500
Sc  0.500  0.000  0.000
Sc  0.750  0.250  0.500
Sc  0.750  0.750  0.500

Symmetry = No. 65
Calculated total energy = -4.91 eV/atom
Total magnetic moment = 0.014 Bohr magnetons per cell
N(E_F) = 18.692 states/eV/f.u.

---

7.
This record from the Alexandria database describes a relaxed structure of Ce2TmSc. The functional is GGA-PBE.

Cell: 7.750 7.750 7.750 Å, 90.00 90.00 90.00°
Sites, in units of the cell vectors:
Ce  0.250  0.250  0.250
Ce  0.250  0.250  0.750
Ce  0.250  0.750  0.250
Ce  0.250  0.750  0.750
Ce  0.750  0.250  0.250
Ce  0.750  0.250  0.750
Ce  0.750  0.750  0.250
Ce  0.750  0.750  0.750
Tm  0.000  0.000  0.000
Tm  0.000  0.500  0.500
Tm  0.500  0.000  0.500
Tm  0.500  0.500  0.000
Sc  0.000  0.000  0.500
Sc  0.000  0.500  0.000
Sc  0.500  0.000  0.000
Sc  0.500  0.500  0.500

Symmetry = No. 225
Calculated total energy = -5.49 eV/atom
Total magnetic moment = 5.094 Bohr magnetons per cell
N(E_F) = 12.592 states/eV/f.u.

---

8.
This record from the Alexandria database describes a relaxed structure of Ce4TmSc. The functional is GGA-PBE.

Cell: 6.213 6.213 6.213 Å, 60.00 60.00 60.00°
Sites, in units of the cell vectors:
Ce  0.377  0.377  0.377
Ce  0.377  0.377  0.870
Ce  0.377  0.870  0.377
Ce  0.870  0.377  0.377
Tm  0.000  0.000  0.000
Sc  0.750  0.750  0.750

Symmetry = No. 216
Calculated total energy = -5.51 eV/atom
Total magnetic moment = 3.641 Bohr magnetons per cell
N(E_F) = 18.901 states/eV/f.u.

---

9.
This record from the Alexandria database describes a relaxed structure of CeTm2Sc. The functional is GGA-PBE.

Cell: 3.430 3.430 33.472 Å, 90.00 90.00 120.00°
Sites, in units of the cell vectors:
Ce  0.000  0.000  0.000
Ce  0.333  0.667  0.667
Ce  0.667  0.333  0.333
Tm  0.000  0.000  0.248
Tm  0.000  0.000  0.421
Tm  0.333  0.667  0.087
Tm  0.333  0.667  0.915
Tm  0.667  0.333  0.581
Tm  0.667  0.333  0.754
Sc  0.000  0.000  0.835
Sc  0.333  0.667  0.501
Sc  0.667  0.333  0.168

Symmetry = No. 160
Calculated total energy = -5.23 eV/atom
Total magnetic moment = 1.909 Bohr magnetons per cell
N(E_F) = 7.211 states/eV/f.u.

---

10.
This record from the Alexandria database describes a relaxed structure of CeTm2Sc2. The functional is GGA-PBE.

Cell: 3.336 5.406 15.519 Å, 90.00 90.00 90.00°
Sites, in units of the cell vectors:
Ce  0.000  0.000  0.000
Ce  0.500  0.500  0.500
Tm  0.000  0.500  0.289
Tm  0.000  0.500  0.711
Tm  0.500  0.000  0.211
Tm  0.500  0.000  0.789
Sc  0.000  0.000  0.402
Sc  0.000  0.000  0.598
Sc  0.500  0.500  0.098
Sc  0.500  0.500  0.902

Symmetry = No. 71
Calculated total energy = -5.44 eV/atom
Total magnetic moment = 1.657 Bohr magnetons per cell
N(E_F) = 10.180 states/eV/f.u.

---

11.
This record from the Alexandria database describes a relaxed structure of CeTm5Sc4. The functional is GGA-PBE.

Cell: 7.513 7.513 7.513 Å, 99.32 99.32 132.54°
Sites, in units of the cell vectors:
Ce  0.000  0.000  0.000
Tm  0.031  0.127  0.615
Tm  0.127  0.512  0.097
Tm  0.416  0.031  0.903
Tm  0.512  0.416  0.385
Tm  0.544  0.544  0.000
Sc  0.126  0.824  0.411
Sc  0.412  0.715  0.589
Sc  0.715  0.126  0.302
Sc  0.824  0.412  0.698

Symmetry = No. 79
Calculated total energy = -5.02 eV/atom
Total magnetic moment = 0.515 Bohr magnetons per cell
N(E_F) = 17.807 states/eV/f.u.

---

12.
This record from the Alexandria database describes a relaxed structure of CeTm2Sc. The functional is GGA-PBE.

Cell: 3.307 3.307 35.622 Å, 90.00 90.00 120.00°
Sites, in units of the cell vectors:
Ce  0.000  0.000  0.000
Ce  0.333  0.667  0.667
Ce  0.667  0.333  0.333
Tm  0.000  0.000  0.091
Tm  0.000  0.000  0.909
Tm  0.333  0.667  0.576
Tm  0.333  0.667  0.758
Tm  0.667  0.333  0.242
Tm  0.667  0.333  0.424
Sc  0.000  0.000  0.500
Sc  0.333  0.667  0.167
Sc  0.667  0.333  0.833

Symmetry = No. 166
Calculated total energy = -5.14 eV/atom
Total magnetic moment = 1.546 Bohr magnetons per cell
N(E_F) = 7.081 states/eV/f.u.